Entry A
A plane-wave DFT calculation with GGA-PBE was carried out for a relaxed LiCuF5 crystal.

abc: 8.0359 6.1370 7.7342
angles: 90.00 117.94 90.00
Space group C2/c (No. 15)
Asymmetric unit:
Li 0.0000 0.0650 0.2500 x4
Cu 0.0000 0.5000 0.0000 x4
F 0.0000 0.4702 0.7500 x4
F 0.0468 0.2130 0.4961 x8
F 0.2473 0.4406 0.1274 x8

Results
* total moment: 0.00 μB per formula unit

Entry B
A plane-wave DFT calculation with GGA-PBE was carried out for a relaxed LiCuF5 crystal.

abc: 7.4147 7.6581 7.1605
angles: 90.00 116.02 90.00
Space group C2/c (No. 15)
Asymmetric unit:
Li 0.0000 0.0998 0.2500 x4
Cu 0.2500 0.2500 0.0000 x4
F 0.0000 0.2795 0.7500 x4
F 0.1200 0.2855 0.1575 x8
F 0.1948 0.0202 0.9935 x8

Results
* total moment: 0.00 μB per formula unit
* density of states at the Fermi level: 0.06 states/eV/atom

Referenced to the most stable arrangement, the calculated values in meV per atom are entry A 8; entry B 0.

Entry A
A plane-wave DFT calculation with GGA-PBE was carried out for a relaxed LiCu3F10 crystal.

abc: 3.7982 7.1435 14.2090
angles: 90.00 94.23 90.00
Space group Pc (No. 7)
Asymmetric unit:
Li 0.0000 0.2415 0.0000 x2
Cu 0.3611 0.1205 0.2162 x2
Cu 0.3940 0.3651 0.6275 x2
Cu 0.4334 0.4764 0.8811 x2
F 0.3188 0.3039 0.1225 x2
F 0.3520 0.0833 0.6271 x2
F 0.3891 0.0378 0.8128 x2
F 0.3974 0.3779 0.4972 x2
F 0.4001 0.2979 0.3186 x2
F 0.4224 0.3661 0.7578 x2
F 0.4773 0.2528 0.9523 x2
F 0.8603 0.1245 0.2104 x2
F 0.8928 0.3844 0.6270 x2
F 0.9354 0.4576 0.8885 x2

Results
* total moment: 0.00 μB per formula unit
* density of states at the Fermi level: 0.39 states/eV/atom

Entry B
A plane-wave DFT calculation with GGA-PBE was carried out for a relaxed LiCu3F10 crystal.

abc: 3.7945 7.1978 14.3994
angles: 90.00 90.16 90.00
Space group Pc (No. 7)
Asymmetric unit:
Li 0.0000 0.0983 0.0000 x2
Cu 0.0217 0.0985 0.1955 x2
Cu 0.0228 0.3957 0.5978 x2
Cu 0.0251 0.4979 0.8502 x2
F 0.0196 0.0883 0.5961 x2
F 0.0197 0.2767 0.1008 x2
F 0.0226 0.0675 0.7865 x2
F 0.0230 0.3733 0.4698 x2
F 0.0237 0.2676 0.2980 x2
F 0.0241 0.3998 0.7251 x2
F 0.0296 0.2680 0.9079 x2
F 0.5216 0.1000 0.1901 x2
F 0.5227 0.4086 0.5958 x2
F 0.5252 0.4981 0.8514 x2

Results
* total moment: 0.02 μB per formula unit
* density of states at the Fermi level: 0.39 states/eV/atom

Referenced to the most stable arrangement, the calculated values in meV per atom are entry A 0; entry B 7.

Entry A
A plane-wave DFT calculation with GGA-PBE was carried out for a relaxed Li2CuF crystal.

abc: 5.6630 5.6630 7.1134
angles: 90.00 90.00 90.00
Space group I-42d (No. 122)
Asymmetric unit:
Li 0.1392 0.7500 0.1250 x8
Cu 0.0000 0.0000 0.5000 x4
F 0.0000 0.0000 0.0000 x4

Results
* total moment: 0.00 μB per formula unit
* density of states at the Fermi level: 0.14 states/eV/atom

Entry B
A plane-wave DFT calculation with GGA-PBE was carried out for a relaxed Li2CuF crystal.

abc: 6.0004 6.0004 6.0004
angles: 90.00 90.00 90.00
Space group Fm-3m (No. 225)
Asymmetric unit:
Li 0.2500 0.2500 0.2500 x8
Cu 0.0000 0.0000 0.0000 x4
F 0.0000 0.0000 0.5000 x4

Results
* total moment: 0.00 μB per formula unit
* density of states at the Fermi level: 0.00 states/eV/atom

Referenced to the most stable arrangement, the calculated values in meV per atom are entry A 0; entry B 433.

Entry A
A plane-wave DFT calculation with GGA-PBE was carried out for a relaxed LiCu2F5 crystal.

abc: 12.9607 10.1966 3.1498
angles: 90.00 90.00 90.00
Space group Pnma (No. 62)
Asymmetric unit:
Li 0.2402 0.2500 0.0966 x4
Cu 0.0795 0.0893 0.6690 x8
F 0.0680 0.5604 0.2849 x8
F 0.0704 0.2500 0.0203 x4
F 0.2189 0.1239 0.5919 x8

Results
* total moment: 1.95 μB per formula unit

Entry B
A plane-wave DFT calculation with GGA-PBE was carried out for a relaxed LiCu2F5 crystal.

abc: 3.8608 10.4871 9.8806
angles: 90.00 90.00 90.00
Space group Cmcm (No. 63)
Asymmetric unit:
Li 0.0000 0.1951 0.2500 x4
Cu 0.0000 0.1331 0.5710 x8
F 0.0000 0.0676 0.1107 x8
F 0.0000 0.2185 0.7500 x4
F 0.0000 0.3271 0.0711 x8

Results
* total moment: 2.02 μB per formula unit
* density of states at the Fermi level: 0.44 states/eV/atom

Referenced to the most stable arrangement, the calculated values in meV per atom are entry A 57; entry B 0.

Entry A
A plane-wave DFT calculation with GGA-PBE was carried out for a relaxed LiCu2F5 crystal.

abc: 8.4899 7.7289 7.3763
angles: 90.00 113.93 90.00
Space group C2/c (No. 15)
Asymmetric unit:
Li 0.0000 0.1015 0.2500 x4
Cu 0.0000 0.5000 0.0000 x4
Cu 0.2500 0.2500 0.0000 x4
F 0.0000 0.4176 0.7500 x4
F 0.0599 0.2619 0.0872 x8
F 0.1986 0.0221 0.9036 x8

Results
* total moment: 2.02 μB per formula unit
* density of states at the Fermi level: 0.14 states/eV/atom

Entry B
A plane-wave DFT calculation with GGA-PBE was carried out for a relaxed LiCu2F5 crystal.

abc: 7.3108 10.0955 6.6011
angles: 90.00 120.99 90.00
Space group C2/c (No. 15)
Asymmetric unit:
Li 0.0000 0.1568 0.2500 x4
Cu 0.0000 0.5000 0.0000 x4
Cu 0.2500 0.2500 0.0000 x4
F 0.0000 0.1682 0.7500 x4
F 0.0859 0.3236 0.1254 x8
F 0.2452 0.0747 0.2537 x8

Results
* total moment: 2.00 μB per formula unit

Referenced to the most stable arrangement, the calculated values in meV per atom are entry A 0; entry B 47.

Entry A
A plane-wave DFT calculation with GGA-PBE was carried out for a relaxed Li2Cu3F8 crystal.

abc: 5.4676 5.4986 5.6348
angles: 89.15 78.19 66.17
Space group P1 (No. 1)
Asymmetric unit:
Li 0.0000 0.0000 0.0000 x1
Li 0.4690 0.2991 0.7079 x1
Cu 0.0852 0.4864 0.2349 x1
Cu 0.3917 0.8733 0.4681 x1
Cu 0.7461 0.5831 0.8131 x1
F 0.1780 0.2484 0.9481 x1
F 0.1857 0.8050 0.2647 x1
F 0.2490 0.7119 0.7387 x1
F 0.3423 0.2458 0.3982 x1
F 0.6594 0.9030 0.6362 x1
F 0.6767 0.2990 0.9574 x1
F 0.7829 0.4154 0.5011 x1
F 0.7846 0.7434 0.1046 x1

Results
* total moment: 3.06 μB per formula unit

Entry B
A plane-wave DFT calculation with GGA-PBE was carried out for a relaxed Li2Cu3F8 crystal.

abc: 6.3796 8.3141 6.4953
angles: 90.00 111.70 90.00
Space group P2_1/c (No. 14)
Asymmetric unit:
Li 0.2424 0.1093 0.3673 x4
Cu 0.2281 0.7453 0.0972 x4
Cu 0.5000 0.0000 0.0000 x2
F 0.0147 0.7407 0.2371 x4
F 0.2616 0.5175 0.6179 x4
F 0.2718 0.5202 0.1150 x4
F 0.4967 0.2339 0.9847 x4

Results
* total moment: 3.00 μB per formula unit
* density of states at the Fermi level: 0.11 states/eV/atom

Referenced to the most stable arrangement, the calculated values in meV per atom are entry A 37; entry B 0.